# PrPaFe2O6 (GGA+U, optimized geometry)
# Raw total energy   -81.6 eV per cell
# Magnetic moment   8.00 Bohr magnetons per cell
# Crystal system   triclinic
data_PrPaFe2O6
_cell_length_a 5.667
_cell_length_b 5.687
_cell_length_c 5.914
_cell_angle_alpha 89.92
_cell_angle_beta 61.89
_cell_angle_gamma 60.31
_symmetry_space_group_name_H-M 'P 1'
_symmetry_Int_Tables_number 1
_symmetry_space_group_name_Hall 'P 1'
loop_
_atom_site_label
_atom_site_type_symbol
_atom_site_fract_x
_atom_site_fract_y
_atom_site_fract_z
Pr1 Pr 0.000 0.000 0.000
Pa1 Pa 0.979 0.513 0.535
Fe1 Fe 0.559 0.728 0.168
Fe2 Fe 0.575 0.206 0.643
O1 O 0.084 0.811 0.352
O2 O 0.091 0.571 0.828
O3 O 0.465 0.112 0.363
O4 O 0.512 0.909 0.851
O5 O 0.748 0.332 0.819
O6 O 0.762 0.446 0.339